1.
Material: PrErSO2
Method: DFT, GGA-PBE
State: optimized geometry

Output
Calculated total energy   -7.7828 eV/atom
Total moment   0.002 μB/cell

a = 3.8778 Å, b = 3.8778 Å, c = 6.6837 Å
α = 90.00°, β = 90.00°, γ = 120.00°
Last column: nearest neighbours and their distance in Å.
Fractional coordinates of all 5 atoms:
Er 0.3333 0.6667 0.7152  4 O 2.23-2.30
O 0.6667 0.3333 0.6392  3 Er 2.30, 1 Pr 2.42
Pr 0.6667 0.3333 0.2768  4 O 2.34-2.42
S 0.0000 0.0000 0.9876  3 Er 2.89, 3 Pr 2.96, 3 O 3.23
O 0.3333 0.6667 0.3811  1 Er 2.23, 3 Pr 2.34

---

2.
Material: ErSc2Ni9
Method: DFT, GGA-PBE
State: optimized geometry

Output
Calculated total energy   -6.0707 eV/atom
Energy relative to the elements   -5.52 eV/f.u.
Total moment   0.801 μB/cell

a = 8.3875 Å, b = 8.3875 Å, c = 8.3875 Å
α = 33.60°, β = 33.60°, γ = 33.60°
Last column: nearest neighbours and their distance in Å.
Fractional coordinates of all 12 atoms:
Ni 0.5858 0.0816 0.5858  7 Ni 2.40-2.45
Ni 0.5858 0.5858 0.0816  7 Ni 2.40-2.45
Ni 0.4142 0.9184 0.4142  7 Ni 2.40-2.45
Ni 0.3333 0.3333 0.3333  6 Ni 2.44-2.45
Ni 0.6667 0.6667 0.6667  6 Ni 2.44-2.45
Ni 0.4142 0.4142 0.9184  7 Ni 2.40-2.45
Sc 0.8592 0.8592 0.8592  12 Ni 2.77-2.92, 3 Sc 3.06
Ni 0.9184 0.4142 0.4142  7 Ni 2.40-2.45
Sc 0.1408 0.1408 0.1408  12 Ni 2.77-2.92, 3 Sc 3.06
Er 0.0000 0.0000 0.0000  6 Ni 2.80
Ni 0.0816 0.5858 0.5858  7 Ni 2.40-2.45
Ni 0.5000 0.5000 0.5000  6 Ni 2.41

---

3.
Material: TaAgAs
Method: DFT, GGA-PBE
State: optimized geometry

Output
Calculated total energy   -5.9950 eV/atom
Total moment   0.016 μB/cell

a = 4.4264 Å, b = 4.4264 Å, c = 4.4264 Å
α = 60.00°, β = 60.00°, γ = 60.00°
Last column: nearest neighbours and their distance in Å.
Fractional coordinates of all 3 atoms:
Ta 0.0000 0.0000 0.0000  4 Ag 2.71, 4 As 2.71
Ag 0.2500 0.2500 0.2500  4 Ta 2.71
As 0.7500 0.7500 0.7500  4 Ta 2.71

---

4.
Material: GdPd
Method: DFT, GGA-PBE
State: optimized geometry

Output
Calculated total energy   -5.5815 eV/atom
Energy relative to the elements   -1.33 eV/f.u.
Total moment   0.002 μB/cell

a = 3.9624 Å, b = 3.9624 Å, c = 7.1246 Å
α = 90.00°, β = 90.00°, γ = 120.00°
Last column: nearest neighbours and their distance in Å.
Fractional coordinates of all 4 atoms:
Pd 0.3333 0.6667 0.7500  6 Gd 2.90
Gd 0.0000 0.0000 0.5000  6 Pd 2.90
Pd 0.6667 0.3333 0.2500  6 Gd 2.90
Gd 0.0000 0.0000 0.0000  6 Pd 2.90

---

5.
Material: CdAsHO4
Method: DFT, GGA-PBE
State: optimized geometry

Output
Calculated total energy   -5.2331 eV/atom

a = 4.6861 Å, b = 6.4797 Å, c = 5.2466 Å
α = 90.00°, β = 92.29°, γ = 90.00°
Last column: nearest neighbours and their distance in Å.
Fractional coordinates of all 14 atoms:
As 0.0000 0.2033 0.2500  4 O 1.70-1.76
H 0.0000 0.5000 0.0000  2 O 1.21
O 0.1840 0.6253 0.9592  1 H 1.21
O 0.2524 0.9176 0.5807  1 As 1.70
O 0.1840 0.3747 0.4592  1 H 1.21
O 0.7476 0.0824 0.4193  1 As 1.70
Cd 0.5000 0.2157 0.7500  6 O 2.29-2.41
O 0.8160 0.3747 0.0408  1 H 1.21
O 0.7476 0.9176 0.9193  1 As 1.70
O 0.2524 0.0824 0.0807  1 As 1.70
O 0.8160 0.6253 0.5408  1 H 1.21
As 0.0000 0.7967 0.7500  4 O 1.70-1.76
H 0.0000 0.5000 0.5000  2 O 1.21
Cd 0.5000 0.7843 0.2500  6 O 2.29-2.41

---

6.
Material: LuAsPbO
Method: DFT, GGA-PBE
State: optimized geometry

Output
Calculated total energy   -5.8300 eV/atom
Total moment   0.052 μB/cell

a = 4.2265 Å, b = 4.2265 Å, c = 9.5692 Å
α = 90.00°, β = 90.00°, γ = 90.01°
Last column: nearest neighbours and their distance in Å.
Fractional coordinates of all 8 atoms:
As 0.7500 0.7500 0.2619  4 Pb 3.11, 4 O 3.28, 5 Lu 3.32-3.43
Pb 0.7500 0.2500 0.5000  4 Pb 2.99, 4 As 3.11
As 0.2500 0.2500 0.7381  4 Pb 3.11, 4 O 3.28, 5 Lu 3.32-3.43
Lu 0.7500 0.7500 0.9147  4 O 2.27
O 0.2500 0.7500 0.0000  4 Lu 2.27
Pb 0.2500 0.7500 0.5000  4 Pb 2.99, 4 As 3.11
Lu 0.2500 0.2500 0.0853  4 O 2.27
O 0.7500 0.2500 0.0000  4 Lu 2.27

---

7.
Material: KErCuS3
Method: DFT, GGA-PBE
State: optimized geometry

Output
Calculated total energy   -4.8984 eV/atom
Total moment   0.001 μB/cell

a = 8.6099 Å, b = 3.9178 Å, c = 9.2562 Å
α = 90.00°, β = 107.70°, γ = 90.00°
Last column: nearest neighbours and their distance in Å.
Fractional coordinates of all 12 atoms:
S 0.1102 0.2500 0.3587  1 Cu 2.30
K 0.2068 0.2500 0.7367  7 S 3.18-3.46
S 0.5381 0.2500 0.3398  3 Er 2.69-2.71
K 0.7932 0.7500 0.2633  7 S 3.18-3.46
S 0.1899 0.7500 0.0397  3 Cu 2.31-2.33
S 0.8101 0.2500 0.9603  3 Cu 2.31-2.33
Er 0.6736 0.2500 0.6423  6 S 2.69-2.82
Cu 0.0840 0.2500 0.1040  4 S 2.30-2.33
Cu 0.9160 0.7500 0.8960  4 S 2.30-2.33
S 0.8898 0.7500 0.6413  1 Cu 2.30
Er 0.3264 0.7500 0.3577  6 S 2.69-2.82
S 0.4619 0.7500 0.6602  3 Er 2.69-2.71